Crystalline KLiGa5 at its relaxed geometry, computed with PBE.

Geometry as extended XYZ:
```
7
Lattice="3.948 0.000 0.000 0.000 3.948 0.000 0.000 0.000 10.054" Properties=species:S:1:pos:R:3 pbc="T T T"
K 0.000 0.000 0.000
Li 0.000 0.000 5.027
Ga 0.000 1.974 2.933
Ga 0.000 1.974 7.121
Ga 1.974 0.000 2.933
Ga 1.974 0.000 7.121
Ga 1.974 1.974 5.027
```

Computed properties:
The calculated density comes out at 4.18 g/cm3. Its density of states at the Fermi level is 0.477 states/eV/atom. The value obtained for the formation energy from the elements is -0.127 eV per atom.

Crystalline KLi3Ga at its relaxed geometry, computed with PBE.

Geometry as extended XYZ:
```
5
Lattice="5.440 0.000 0.000 0.000 5.440 0.000 0.000 0.000 5.440" Properties=species:S:1:pos:R:3 pbc="T T T"
K 0.000 0.000 0.000
Li 0.000 0.000 2.720
Li 0.000 2.720 0.000
Li 2.720 0.000 0.000
Ga 2.720 2.720 2.720
```

Computed properties:
The calculated density comes out at 1.34 g/cm3. Its density of states at the Fermi level is 0.571 states/eV/atom. The value obtained for the formation energy from the elements is 0.741 eV per atom. The calculation puts the energy above the most stable polymorph in this dataset at 732.9 meV per atom.

Crystalline K2LiGa at its relaxed geometry, computed with PBE.

Geometry as extended XYZ:
```
8
Lattice="-4.796 4.796 3.285 4.796 -4.796 3.285 4.796 4.796 -3.285" Properties=species:S:1:pos:R:3 pbc="T T T"
K 2.398 2.292 -0.821
K 2.504 -2.398 4.107
K 2.398 2.504 2.464
K 2.292 7.194 0.821
Li 4.796 0.000 1.643
Li 0.000 0.000 3.285
Ga 0.000 0.000 0.000
Ga 0.000 4.796 1.643
```

Computed properties:
The calculated density comes out at 1.70 g/cm3. Its density of states at the Fermi level is 0.320 states/eV/atom. The value obtained for the formation energy from the elements is 0.254 eV per atom.

Crystalline KLi3Ga at its relaxed geometry, computed with PBE.

Geometry as extended XYZ:
```
5
Lattice="5.197 0.000 0.000 0.000 5.197 0.000 0.000 0.000 5.197" Properties=species:S:1:pos:R:3 pbc="T T T"
K 0.000 0.000 0.000
Li 0.000 2.599 2.599
Li 2.599 0.000 2.599
Li 2.599 2.599 0.000
Ga 2.599 2.599 2.599
```

Computed properties:
The calculated density comes out at 1.53 g/cm3. Its density of states at the Fermi level is 0.950 states/eV/atom. The value obtained for the formation energy from the elements is 0.008 eV per atom. The calculation puts the energy above the most stable polymorph in this dataset at 0.0 meV per atom.

Crystalline KLi4Ga9 at its relaxed geometry, computed with PBE.

Geometry as extended XYZ:
```
28
Lattice="-4.598 4.598 6.278 4.598 -4.598 6.278 4.598 4.598 -6.278" Properties=species:S:1:pos:R:3 pbc="T T T"
K 0.000 0.000 3.139
K 0.000 0.000 9.417
Li 6.282 1.683 -1.504
Li 1.683 2.915 -1.504
Li 6.282 1.683 1.504
Li 1.683 2.915 1.504
Li 2.915 1.683 4.774
Li -1.683 2.915 4.774
Li 2.915 1.683 7.782
Li -1.683 2.915 7.782
Ga 4.598 0.000 0.000
Ga 1.825 0.450 0.000
Ga 5.674 -1.076 2.205
Ga 4.148 -2.773 6.278
Ga 3.522 -1.076 4.073
Ga 3.522 1.076 2.205
Ga 4.148 2.773 0.000
Ga 5.674 1.076 4.073
Ga 1.825 -0.450 6.278
Ga 0.000 4.598 0.000
Ga 2.773 5.048 0.000
Ga -1.076 3.522 2.205
Ga 0.450 1.825 6.278
Ga 1.076 3.522 4.073
Ga 1.076 5.674 2.205
Ga 0.450 7.372 0.000
Ga -1.076 5.674 4.073
Ga 2.773 4.148 6.278
```

Computed properties:
The calculated density comes out at 4.34 g/cm3. Its density of states at the Fermi level is 0.237 states/eV/atom. The value obtained for the formation energy from the elements is -0.236 eV per atom.

Crystalline KLi2MgGa at its relaxed geometry, computed with PBE.

Geometry as extended XYZ:
```
5
Lattice="5.288 0.000 0.000 0.000 5.288 0.000 0.000 0.000 5.131" Properties=species:S:1:pos:R:3 pbc="T T T"
K 0.000 0.000 0.000
Li 0.000 2.644 2.566
Li 2.644 0.000 2.566
Mg 2.644 2.644 0.000
Ga 2.644 2.644 2.566
```

Computed properties:
The calculated density comes out at 1.70 g/cm3. Its density of states at the Fermi level is 0.376 states/eV/atom. The value obtained for the formation energy from the elements is 0.000 eV per atom.

Crystalline KLiGa2Ni at its relaxed geometry, computed with PBE.

Geometry as extended XYZ:
```
5
Lattice="4.618 0.000 0.000 0.000 4.618 0.000 0.000 0.000 5.111" Properties=species:S:1:pos:R:3 pbc="T T T"
K 0.000 0.000 0.000
Li 2.309 2.309 0.000
Ga 0.000 2.309 2.556
Ga 2.309 0.000 2.556
Ni 2.309 2.309 2.556
```

Computed properties:
The calculated density comes out at 3.72 g/cm3. Its density of states at the Fermi level is 0.400 states/eV/atom. The value obtained for the formation energy from the elements is -0.148 eV per atom.

Crystalline KLi2GaNi at its relaxed geometry, computed with PBE.

Geometry as extended XYZ:
```
5
Lattice="5.006 0.000 0.000 0.000 5.006 0.000 0.000 0.000 4.582" Properties=species:S:1:pos:R:3 pbc="T T T"
K 0.000 0.000 0.000
Li 0.000 2.503 2.291
Li 2.503 0.000 2.291
Ga 2.503 2.503 0.000
Ni 2.503 2.503 2.291
```

Computed properties:
The calculated density comes out at 2.62 g/cm3. Its density of states at the Fermi level is 0.428 states/eV/atom. The value obtained for the formation energy from the elements is 0.006 eV per atom.

Crystalline KLiGa2O4 at its relaxed geometry, computed with PBE.

Geometry as extended XYZ:
```
8
Lattice="-2.258 2.258 5.344 2.258 -2.258 5.344 2.258 2.258 -5.344" Properties=species:S:1:pos:R:3 pbc="T T T"
K 0.000 0.000 0.000
Li 0.000 0.000 5.344
Ga 2.258 0.000 2.672
Ga 0.000 2.258 2.672
O 1.276 1.276 -1.654
O 0.981 -0.981 6.998
O 0.981 0.981 3.690
O -0.981 0.981 6.998
```

Computed properties:
The calculated density comes out at 3.80 g/cm3. The formation energy from raw total energies comes out at -1745.2 meV per atom. Its density of states at the Fermi level is 0.000 states/eV/atom.

Crystalline KLiGaPb at its relaxed geometry, computed with PBE.

Geometry as extended XYZ:
```
4
Lattice="0.000 3.760 3.760 3.760 0.000 3.760 3.760 3.760 0.000" Properties=species:S:1:pos:R:3 pbc="T T T"
K 0.000 0.000 0.000
Li 1.880 1.880 1.880
Ga 5.640 5.640 5.640
Pb 3.760 3.760 3.760
```

Computed properties:
The calculated density comes out at 5.04 g/cm3. Its density of states at the Fermi level is 0.812 states/eV/atom. The value obtained for the formation energy from the elements is -0.040 eV per atom.

Crystalline KLiGa2Pb at its relaxed geometry, computed with PBE.

Geometry as extended XYZ:
```
5
Lattice="5.674 0.000 0.000 0.000 5.674 0.000 0.000 0.000 5.356" Properties=species:S:1:pos:R:3 pbc="T T T"
K 0.000 0.000 0.000
Li 2.837 2.837 0.000
Ga 0.000 2.837 2.678
Ga 2.837 0.000 2.678
Pb 2.837 2.837 2.678
```

Computed properties:
The calculated density comes out at 3.78 g/cm3. Its density of states at the Fermi level is 0.523 states/eV/atom. The value obtained for the formation energy from the elements is 0.150 eV per atom.

Crystalline KLi2GaPd at its relaxed geometry, computed with PBE.

Geometry as extended XYZ:
```
5
Lattice="5.080 0.000 0.000 0.000 5.080 0.000 0.000 0.000 4.834" Properties=species:S:1:pos:R:3 pbc="T T T"
K 0.000 0.000 0.000
Li 0.000 2.540 2.417
Li 2.540 0.000 2.417
Ga 2.540 2.540 0.000
Pd 2.540 2.540 2.417
```

Computed properties:
The calculated density comes out at 3.05 g/cm3. Its density of states at the Fermi level is 0.426 states/eV/atom. The value obtained for the formation energy from the elements is -0.218 eV per atom.

Crystalline KLiGa2Pt at its relaxed geometry, computed with PBE.

Geometry as extended XYZ:
```
5
Lattice="4.840 0.000 0.000 0.000 4.840 0.000 0.000 0.000 5.184" Properties=species:S:1:pos:R:3 pbc="T T T"
K 0.000 0.000 0.000
Li 2.420 2.420 0.000
Ga 0.000 2.420 2.592
Ga 2.420 0.000 2.592
Pt 2.420 2.420 2.592
```

Computed properties:
The calculated density comes out at 5.20 g/cm3. Its density of states at the Fermi level is 0.271 states/eV/atom. The value obtained for the formation energy from the elements is -0.392 eV per atom.

Crystalline K2RbLiGa at its relaxed geometry, computed with PBE.

Geometry as extended XYZ:
```
5
Lattice="6.748 0.000 0.000 0.000 6.748 0.000 0.000 0.000 5.493" Properties=species:S:1:pos:R:3 pbc="T T T"
K 0.000 3.374 0.000
K 3.374 0.000 0.000
Rb 0.000 0.000 2.747
Li 3.374 3.374 2.747
Ga 3.374 3.374 0.000
```

Computed properties:
The calculated density comes out at 1.60 g/cm3. Its density of states at the Fermi level is 0.779 states/eV/atom. The value obtained for the formation energy from the elements is 0.118 eV per atom.

Crystalline KLiGaRe2 at its relaxed geometry, computed with PBE.

Geometry as extended XYZ:
```
5
Lattice="4.700 0.000 0.000 0.000 4.700 0.000 0.000 0.000 5.262" Properties=species:S:1:pos:R:3 pbc="T T T"
K 0.000 0.000 0.000
Li 2.350 2.350 0.000
Ga 2.350 2.350 2.631
Re 0.000 2.350 2.631
Re 2.350 0.000 2.631
```

Computed properties:
The calculated density comes out at 6.98 g/cm3. Its density of states at the Fermi level is 1.087 states/eV/atom. The value obtained for the formation energy from the elements is 1.558 eV per atom.

Crystalline KLiGa2Rh at its relaxed geometry, computed with PBE.

Geometry as extended XYZ:
```
5
Lattice="4.811 0.000 0.000 0.000 4.811 0.000 0.000 0.000 5.092" Properties=species:S:1:pos:R:3 pbc="T T T"
K 0.000 0.000 0.000
Li 2.406 2.406 0.000
Ga 0.000 2.406 2.546
Ga 2.406 0.000 2.546
Rh 2.406 2.406 2.546
```

Computed properties:
The calculated density comes out at 4.06 g/cm3. Its density of states at the Fermi level is 0.304 states/eV/atom. The value obtained for the formation energy from the elements is -0.309 eV per atom.

Crystalline KLi2Ga2Sb2 at its relaxed geometry, computed with PBE.

Geometry as extended XYZ:
```
7
Lattice="4.706 -2.134 0.000 4.706 2.134 0.000 -2.344 0.000 9.186" Properties=species:S:1:pos:R:3 pbc="T T T"
K 0.000 0.000 0.000
Li 0.326 0.000 3.886
Li 6.741 0.000 5.299
Ga 3.285 0.000 3.314
Ga 3.783 0.000 5.872
Sb 0.559 0.000 6.755
Sb 6.509 0.000 2.430
```

Computed properties:
The calculated density comes out at 3.92 g/cm3. The formation energy from raw total energies comes out at -372.2 meV per atom. Its density of states at the Fermi level is 0.090 states/eV/atom.

Crystalline K2LiScGa at its relaxed geometry, computed with PBE.

Geometry as extended XYZ:
```
5
Lattice="6.376 0.000 0.000 0.000 6.376 0.000 0.000 0.000 4.989" Properties=species:S:1:pos:R:3 pbc="T T T"
K 0.000 3.188 0.000
K 3.188 0.000 0.000
Li 0.000 0.000 2.494
Sc 3.188 3.188 2.494
Ga 0.000 0.000 0.000
```

Computed properties:
The calculated density comes out at 1.64 g/cm3. Its density of states at the Fermi level is 1.715 states/eV/atom. The value obtained for the formation energy from the elements is 0.678 eV per atom.

Crystalline KLi2GaSe at its relaxed geometry, computed with PBE.

Geometry as extended XYZ:
```
5
Lattice="5.027 0.000 0.000 0.000 5.027 0.000 0.000 0.000 5.434" Properties=species:S:1:pos:R:3 pbc="T T T"
K 0.000 0.000 0.000
Li 0.000 2.514 2.717
Li 2.514 0.000 2.717
Ga 2.514 2.514 2.717
Se 2.514 2.514 0.000
```

Computed properties:
The calculated density comes out at 2.44 g/cm3. The formation energy from raw total energies comes out at -224.8 meV per atom. Its density of states at the Fermi level is 0.819 states/eV/atom.

Crystalline KLi2GaSi at its relaxed geometry, computed with PBE.

Geometry as extended XYZ:
```
5
Lattice="5.027 0.000 0.000 0.000 5.027 0.000 0.000 0.000 5.126" Properties=species:S:1:pos:R:3 pbc="T T T"
K 0.000 0.000 0.000
Li 0.000 2.513 2.563
Li 2.513 0.000 2.563
Ga 2.513 2.513 0.000
Si 2.513 2.513 2.563
```

Computed properties:
The calculated density comes out at 1.93 g/cm3. The formation energy from raw total energies comes out at -11.5 meV per atom. Its density of states at the Fermi level is 0.252 states/eV/atom.